# 1
{
  "formula": "Ca2DyCuS4",
  "functional": "GGA-PBE",
  "state": "relaxed",
  "lattice": [[-0.2917, -3.9215, 0.2759], [5.7849, -0.6738, -3.4610], [1.2578, 0.3789, 6.7160]],
  "species": ["S", "S", "S", "S", "Ca", "Ca", "Cu", "Dy"],
  "fractional_positions": [[0.5000, 0.2371, 0.2280], [0.5000, 0.7629, 0.7720], [0.0000, 0.2571, 0.7550], [0.0000, 0.7429, 0.2450], [0.0000, 0.5000, 0.5000], [0.5000, 0.0000, 0.5000], [0.0000, 0.0000, 0.0000], [0.5000, 0.5000, 0.0000]],
  "formation_energy_uncorrected_kj_per_mol_atoms": -158,
  "spacegroup": "P2/m",
  "total_magnetization_mub_per_cell": 0.00
}

# 2
{
  "formula": "MnTlSnBr2",
  "functional": "GGA-PBE",
  "state": "relaxed",
  "lattice": [[5.6705, 0.0000, 0.0000], [0.0000, 6.0566, 0.0000], [0.0000, 0.0000, 5.6705]],
  "species": ["Mn", "Tl", "Br", "Br", "Sn"],
  "fractional_positions": [[0.5000, 0.5000, 0.5000], [0.0000, 0.5000, 0.0000], [0.0000, 0.0000, 0.5000], [0.5000, 0.0000, 0.0000], [0.0000, 0.0000, 0.0000]],
  "formation_energy_uncorrected_kj_per_mol_atoms": 27,
  "spacegroup": "P4/mmm",
  "total_magnetization_mub_per_cell": 4.92
}

# 3
{
  "formula": "NbBi2OsCl",
  "functional": "GGA-PBE",
  "state": "relaxed",
  "lattice": [[5.3412, 0.0000, 0.0000], [0.0000, 4.4192, 0.0000], [0.0000, 0.0000, 5.3412]],
  "species": ["Os", "Cl", "Nb", "Bi", "Bi"],
  "fractional_positions": [[0.5000, 0.5000, 0.5000], [0.0000, 0.0000, 0.0000], [0.0000, 0.5000, 0.0000], [0.0000, 0.0000, 0.5000], [0.5000, 0.0000, 0.0000]],
  "formation_energy_uncorrected_kj_per_mol_atoms": 154,
  "spacegroup": "P4/mmm",
  "total_magnetization_mub_per_cell": 1.46
}

# 4
{
  "formula": "TaZnTc2C",
  "functional": "GGA-PBE",
  "state": "relaxed",
  "lattice": [[4.1352, 0.0000, 0.0000], [0.0000, 4.0110, 0.0000], [0.0000, 0.0000, 4.1352]],
  "species": ["C", "Ta", "Tc", "Tc", "Zn"],
  "fractional_positions": [[0.0000, 0.0000, 0.0000], [0.5000, 0.5000, 0.5000], [0.5000, 0.0000, 0.0000], [0.0000, 0.0000, 0.5000], [0.0000, 0.5000, 0.0000]],
  "spacegroup": "P4/mmm",
  "formation_enthalpy_0k_ev_per_atom": 0.287,
  "total_magnetization_mub_per_cell": 0.00
}

Number 1: density 4214 kg/m3. Number 2: density 4586 kg/m3. Number 3: density 9701 kg/m3. Number 4: density 11001 kg/m3.